Entry 1:
LiTaHRu2: optimized geometry, GGA-PBE.

a b c (Å): 4.144 4.144 3.406
angles (deg): 90.00 90.00 90.00
Fractional positions:
Ru: 0.000 0.500 0.000
Ru: 0.500 0.000 0.000
Li: 0.000 0.000 0.500
H: 0.000 0.000 0.000
Ta: 0.500 0.500 0.500

Final energy (eV/atom): -7.30
Symmetry: P4/mmm

=====

Entry 2:
Li2TlHRu: optimized geometry, GGA-PBE.

a b c (Å): 4.072 4.072 3.798
angles (deg): 90.00 90.00 90.00
Fractional positions:
Ru: 0.000 0.000 0.500
Tl: 0.500 0.500 0.500
H: 0.000 0.000 0.000
Li: 0.000 0.500 0.000
Li: 0.500 0.000 0.000

Final energy (eV/atom): -3.85
Symmetry: P4/mmm